First-principles (GGA-PBE) data for PaTaBeO6 after structural relaxation, as listed in the Alexandria database.

Output
- space-group type = P-31c, No. 163
- formation energy without anion corrections (eV per atom) = -2.947
- electronic total energy (eV/atom) = -9.04

Geometry as CIF:
```
data_PaTaBeO6
_cell_length_a 4.9821
_cell_length_b 4.9821
_cell_length_c 9.7052
_cell_angle_alpha 90.00
_cell_angle_beta 90.00
_cell_angle_gamma 120.00
_space_group_name_H-M_alt 'P 1'
_space_group_IT_number 1
loop_
_space_group_symop_operation_xyz
'x,y,z'
loop_
_atom_site_label
_atom_site_type_symbol
_atom_site_fract_x
_atom_site_fract_y
_atom_site_fract_z
_atom_site_occupancy
Pa1 Pa 0.0000 0.0000 0.0000 1
Pa2 Pa 0.0000 0.0000 0.5000 1
Ta1 Ta 0.3333 0.6667 0.2500 1
Ta2 Ta 0.6667 0.3333 0.7500 1
Be1 Be 0.3333 0.6667 0.7500 1
Be2 Be 0.6667 0.3333 0.2500 1
O1 O 0.0146 0.3591 0.6382 1
O2 O 0.0146 0.6554 0.8618 1
O3 O 0.3446 0.3591 0.8618 1
O4 O 0.3446 0.9854 0.6382 1
O5 O 0.3591 0.0146 0.1382 1
O6 O 0.3591 0.3446 0.3618 1
O7 O 0.6409 0.6554 0.6382 1
O8 O 0.6409 0.9854 0.8618 1
O9 O 0.6554 0.0146 0.3618 1
O10 O 0.6554 0.6409 0.1382 1
O11 O 0.9854 0.3446 0.1382 1
O12 O 0.9854 0.6409 0.3618 1
```